# MnTcMo2F PBE+U optimized geometry
# - Calculated volume: 102.6 Å³/cell
# - VASP energy: -28.6 eV per formula unit
# - Size of the total moment: 1.541 μB/f.u.
data_MnTcMo2F
_space_group_name_H-M_alt 'P 1'
_space_group_IT_number 1
_cell_length_a 5.286
_cell_length_b 5.286
_cell_length_c 3.673
_cell_angle_alpha 90.00
_cell_angle_beta 90.00
_cell_angle_gamma 90.00
loop_
_space_group_symop_operation_xyz
'x,y,z'
loop_
_atom_site_label
_atom_site_type_symbol
_atom_site_fract_x
_atom_site_fract_y
_atom_site_fract_z
Mn1 Mn 0.000 0.000 0.000
Tc1 Tc 0.500 0.500 0.500
Mo1 Mo 0.000 0.500 0.000
Mo2 Mo 0.500 0.000 0.000
F1 F 0.000 0.000 0.500

---

# Ti2MnMoF PBE+U optimized geometry
# - Calculated volume: 95.9 Å³/cell
# - VASP energy: -28.9 eV per formula unit
# - Size of the total moment: 3.204 μB/f.u.
data_Ti2MnMoF
_space_group_name_H-M_alt 'P 1'
_space_group_IT_number 1
_cell_length_a 5.098
_cell_length_b 5.098
_cell_length_c 3.689
_cell_angle_alpha 90.00
_cell_angle_beta 90.00
_cell_angle_gamma 90.00
loop_
_space_group_symop_operation_xyz
'x,y,z'
loop_
_atom_site_label
_atom_site_type_symbol
_atom_site_fract_x
_atom_site_fract_y
_atom_site_fract_z
Ti1 Ti 0.000 0.500 0.000
Ti2 Ti 0.500 0.000 0.000
Mn1 Mn 0.000 0.000 0.000
Mo1 Mo 0.500 0.500 0.500
F1 F 0.000 0.000 0.500